Entry 1:
Compound: La2SnRh
Source: the Alexandria database
Functional: GGA-PBE
Structure: optimized geometry

abc: 8.605 8.605 8.605
angles: 27.55 27.55 27.55
Fractional coordinates of all 4 atoms:
La1 0.235 0.235 0.235
La2 0.765 0.765 0.765
Sn1 0.000 0.000 0.000
Rh1 0.500 0.500 0.500

Calculated values
* energy: -5.92 eV/atom
* symmetry: R-3m, No. 166
* crystal system: trigonal
* energy of formation: -2.47 eV per formula unit

Entry 2:
Compound: Ac2La8Sm3
Source: the Alexandria database
Functional: GGA-PBE
Structure: optimized geometry

abc: 13.430 13.430 13.430
angles: 29.12 29.12 29.12
Fractional coordinates of all 13 atoms:
Ac1 0.140 0.140 0.140
Ac2 0.860 0.860 0.860
La1 0.216 0.216 0.726
La2 0.216 0.726 0.216
La3 0.226 0.226 0.226
La4 0.274 0.784 0.784
La5 0.726 0.216 0.216
La6 0.774 0.774 0.774
La7 0.784 0.274 0.784
La8 0.784 0.784 0.274
Sm1 0.313 0.313 0.313
Sm2 0.500 0.500 0.500
Sm3 0.687 0.687 0.687

Calculated values
* energy above the most stable polymorph in this dataset: 0.61 eV/f.u.
* energy: -4.51 eV/atom
* symmetry: R-3m, No. 166
* crystal system: trigonal
* energy of formation: 3.11 eV per formula unit

Entry 3:
Compound: AlGaNF2
Source: the Alexandria database
Functional: GGA-PBE
Structure: optimized geometry

abc: 3.687 3.687 4.060
angles: 90.00 90.00 90.00
Fractional coordinates of all 5 atoms:
Al1 0.000 0.000 0.000
Ga1 0.500 0.500 0.500
N1 0.000 0.000 0.500
F1 0.000 0.500 0.000
F2 0.500 0.000 0.000

Calculated values
* energy above the most stable polymorph in this dataset: 0.00 eV/f.u.
* energy: -5.28 eV/atom
* symmetry: P4/mmm, No. 123
* crystal system: tetragonal

Entry 4:
Compound: Tb2Ho2Te5
Source: the Alexandria database
Functional: GGA-PBE
Structure: optimized geometry

abc: 9.715 9.715 6.126
angles: 90.00 90.00 143.63
Fractional coordinates of all 9 atoms:
Tb1 0.157 0.843 0.000
Tb2 0.843 0.157 0.000
Ho1 0.316 0.684 0.500
Ho2 0.684 0.316 0.500
Te1 0.000 0.000 0.000
Te2 0.153 0.847 0.500
Te3 0.332 0.668 0.000
Te4 0.668 0.332 0.000
Te5 0.847 0.153 0.500

Calculated values
* energy: -4.98 eV/atom
* symmetry: Cmmm, No. 65
* crystal system: orthorhombic

Entry 5:
Compound: RuBrF2
Source: the Alexandria database
Functional: GGA-PBE
Structure: optimized geometry

abc: 10.441 10.441 10.441
angles: 15.43 15.43 15.43
Fractional coordinates of all 4 atoms:
Ru1 0.000 0.000 0.000
Br1 0.500 0.500 0.500
F1 0.061 0.061 0.061
F2 0.939 0.939 0.939

Calculated values
* energy above the most stable polymorph in this dataset: 1.83 eV/f.u.
* energy: -4.24 eV/atom
* symmetry: R-3m, No. 166
* crystal system: trigonal

Entry 6:
Compound: Ce3Ir2Pb
Source: the Alexandria database
Functional: GGA-PBE
Structure: optimized geometry

abc: 8.116 8.116 8.796
angles: 109.10 109.10 33.75
Fractional coordinates of all 12 atoms:
Ce1 0.077 0.077 0.202
Ce2 0.241 0.241 0.728
Ce3 0.403 0.403 0.137
Ce4 0.597 0.597 0.863
Ce5 0.759 0.759 0.272
Ce6 0.923 0.923 0.798
Ir1 0.053 0.053 0.656
Ir2 0.197 0.197 0.045
Ir3 0.803 0.803 0.955
Ir4 0.947 0.947 0.344
Pb1 0.389 0.389 0.520
Pb2 0.611 0.611 0.480

Calculated values
* energy: -7.04 eV/atom
* symmetry: C2/m, No. 12
* crystal system: monoclinic
* energy of formation: -3.00 eV per formula unit

Entry 7:
Compound: ZrSc4In2
Source: the Alexandria database
Functional: GGA-PBE
Structure: optimized geometry

abc: 7.232 7.232 7.232
angles: 136.81 136.81 62.73
Fractional coordinates of all 7 atoms:
Zr1 0.000 0.000 0.000
Sc1 0.000 0.500 0.500
Sc2 0.250 0.750 0.500
Sc3 0.500 0.000 0.500
Sc4 0.750 0.250 0.500
In1 0.373 0.373 0.000
In2 0.627 0.627 0.000

Calculated values
* energy above the most stable polymorph in this dataset: 3.13 eV/f.u.
* energy: -5.42 eV/atom
* symmetry: I4/mmm, No. 139
* crystal system: tetragonal
* energy of formation: 1.44 eV per formula unit

Entry 8:
Compound: Tc2SnAsO
Source: the Alexandria database
Functional: GGA-PBE
Structure: optimized geometry

abc: 5.174 5.174 3.956
angles: 90.00 90.00 90.00
Fractional coordinates of all 5 atoms:
Tc1 0.000 0.500 0.000
Tc2 0.500 0.000 0.000
Sn1 0.000 0.000 0.000
As1 0.500 0.500 0.500
O1 0.000 0.000 0.500

Calculated values
* energy: -5.64 eV/atom
* symmetry: P4/mmm, No. 123
* crystal system: tetragonal

Entry 9:
Compound: KWAu2
Source: the Alexandria database
Functional: GGA-PBE
Structure: optimized geometry

abc: 5.391 5.391 2.732
angles: 90.00 90.00 90.23
Fractional coordinates of all 4 atoms:
K1 0.000 0.000 0.000
W1 0.500 0.500 0.000
Au1 0.000 0.500 0.500
Au2 0.500 0.000 0.500

Calculated values
* energy above the most stable polymorph in this dataset: 0.48 eV/f.u.
* energy: -4.65 eV/atom
* symmetry: Cmmm, No. 65
* crystal system: orthorhombic
* energy of formation: 2.01 eV per formula unit

Entry 10:
Compound: K2ScCo
Source: the Alexandria database
Functional: GGA-PBE
Structure: optimized geometry

abc: 10.894 10.894 3.759
angles: 99.38 99.38 17.92
Fractional coordinates of all 4 atoms:
K1 0.152 0.152 0.142
K2 0.848 0.848 0.858
Sc1 0.000 0.000 0.500
Co1 0.500 0.500 0.000

Calculated values
* energy above the most stable polymorph in this dataset: 0.00 eV/f.u.
* energy: -3.55 eV/atom
* symmetry: C2/m, No. 12
* crystal system: monoclinic
* energy of formation: 1.44 eV per formula unit

Entry 11:
Compound: NaGePdPt
Source: the Alexandria database
Functional: GGA-PBE
Structure: optimized geometry

abc: 4.573 5.355 5.355
angles: 31.33 90.00 90.00
Fractional coordinates of all 4 atoms:
Na1 0.000 0.000 0.000
Ge1 0.500 0.641 0.641
Pd1 0.500 0.359 0.359
Pt1 0.000 0.740 0.740

Calculated values
* energy above the most stable polymorph in this dataset: 0.00 eV/f.u.
* energy: -4.58 eV/atom
* symmetry: Amm2, No. 38
* crystal system: orthorhombic
* energy of formation: -1.14 eV per formula unit